This record from Alexandria via LeMat-Bulk describes crystalline Ba2OsPbN at its relaxed geometry. The functional is PBE-GGA.

```
Ba2OsPbN
1.0
6.5148 0.0000 0.0000
0.0000 4.3075 0.0000
0.0000 0.0000 6.5148
Pb Os Ba N
1 1 2 1
Direct
0.0000 0.0000 0.0000
0.5000 0.5000 0.5000
0.0000 0.0000 0.5000
0.5000 0.0000 0.0000
0.0000 0.5000 0.0000
```

The value obtained for the uncorrected formation energy is 1472 meV/atom.

---

This record from Alexandria via LeMat-Bulk describes crystalline GdTmAlCd at its relaxed geometry. The functional is PBE-GGA.

```
GdTmAlCd
1.0
-3.0067 -2.5695 -3.3719
2.1680 -2.8445 -3.7710
-0.2617 -5.1875 0.1810
Gd Al Tm Cd
1 1 1 1
Direct
0.5000 0.5000 0.5000
0.2500 0.2500 0.2500
0.0000 0.0000 0.0000
0.7500 0.7500 0.7500
```

Its formation enthalpy at 0 K is -347.4 meV/atom.

---

This record from Alexandria via LeMat-Bulk describes crystalline MnOsPt2 at its relaxed geometry. The functional is PBE-GGA.

```
MnOsPt2
1.0
5.4748 0.0000 0.0000
0.0000 5.4748 0.0000
2.7374 2.7374 5.4991
Pt Os Mn
4 2 2
Direct
0.1417 0.6250 0.2500
0.6083 0.1250 0.2500
0.8750 0.8583 0.7500
0.3750 0.3917 0.7500
0.0000 0.0000 0.0000
0.7500 0.2500 0.5000
0.2500 0.7500 0.5000
0.5000 0.5000 0.0000
```

Its formation enthalpy at 0 K is 1107.5 meV/atom.